[1]
{
  "formula": "Ac5Ga4Ag",
  "functional": "PBE",
  "state": "relaxed",
  "lattice": [[-2.583, -2.329, 1.813], [1.762, -3.149, -1.537], [11.919, -0.995, 15.705]],
  "species": ["Ac", "Ga", "Ac", "Ga", "Ac", "Ac", "Ga", "Ga", "Ag", "Ac"],
  "fractional_positions": [[0.500, 0.500, 0.301], [0.000, 0.000, 0.201], [0.500, 0.500, 0.500], [0.000, 0.000, 0.401], [0.500, 0.500, 0.699], [0.500, 0.500, 0.895], [0.000, 0.000, 0.799], [0.000, 0.000, 0.599], [0.000, 0.000, 0.000], [0.500, 0.500, 0.105]],
  "dos_at_fermi_per_ev_atom": 0.887,
  "delta_e_f_ev_per_atom": -0.4039,
  "magnetic_moment_mub_per_cell": 0.00,
  "e_tot_ev_per_atom": -3.9540
}

[2]
{
  "formula": "LiTcBiO6",
  "functional": "PBE",
  "state": "relaxed",
  "lattice": [[-4.097, 1.483, 1.836], [-2.547, -2.245, -3.870], [0.978, -2.638, 4.312]],
  "species": ["O", "O", "Li", "Bi", "Tc", "O", "O", "O", "O"],
  "fractional_positions": [[0.273, 0.680, 0.035], [0.273, 0.355, 0.320], [0.500, 0.000, 0.000], [0.000, 0.333, 0.667], [0.500, 0.667, 0.333], [0.727, 0.965, 0.320], [0.273, 0.965, 0.645], [0.727, 0.680, 0.645], [0.727, 0.355, 0.035]],
  "dos_at_fermi_per_ev_atom": 0.236,
  "magnetic_moment_mub_per_cell": 0.00,
  "e_tot_ev_per_atom": -6.3293
}

[3]
{
  "formula": "NiTe2RuI",
  "functional": "PBE",
  "state": "relaxed",
  "lattice": [[-4.491, -2.188, 0.486], [1.260, -1.566, 4.599], [-1.920, 4.391, 2.021]],
  "species": ["Ru", "Te", "Te", "I", "Ni"],
  "fractional_positions": [[0.500, 0.500, 0.500], [0.500, 0.000, 0.000], [0.000, 0.500, 0.000], [0.000, 0.000, 0.500], [0.000, 0.000, 0.000]],
  "dos_at_fermi_per_ev_atom": 1.623,
  "relative_energy_mev_per_atom": 67.2,
  "magnetic_moment_mub_per_cell": 2.98,
  "e_tot_ev_per_atom": -3.5850
}

- Which formula does entry 1 have?
  Ac5Ga4Ag